## DyEr3Pt3 (GGA-PBE)

Data for a geometry-optimized DyEr3Pt3 structure.

Cell: 7.0681 7.0681 6.9550 Å, 98.85 98.85 84.02°
With the nearest neighbours (Å) after each atom.
Element x y z (fractional)
Dy 0.2275 0.2275 0.4633  4 Pt 2.78-2.94
Dy 0.7725 0.7725 0.5367  4 Pt 2.78-2.94
Er 0.1875 0.8125 0.0000  4 Pt 2.81-2.93
Er 0.2706 0.7294 0.5000  4 Pt 2.81-2.95
Er 0.3055 0.3055 0.0023  5 Pt 2.90-2.98
Er 0.6945 0.6945 0.9977  5 Pt 2.90-2.98
Er 0.7294 0.2706 0.5000  4 Pt 2.81-2.95
Er 0.8125 0.1875 0.0000  4 Pt 2.81-2.93
Pt 0.0163 0.5083 0.2285  4 Er 2.81-2.93, 1 Dy 2.91, 2 Pt 3.07-3.14
Pt 0.0521 0.0521 0.7135  2 Dy 2.78-2.94, 5 Er 2.81-2.98, 3 Pt 2.94-3.07
Pt 0.4917 0.9837 0.7715  4 Er 2.81-2.93, 1 Dy 2.91, 2 Pt 3.07-3.14
Pt 0.5083 0.0163 0.2285  4 Er 2.81-2.93, 1 Dy 2.91, 2 Pt 3.07-3.14
Pt 0.9479 0.9479 0.2865  2 Dy 2.78-2.94, 5 Er 2.81-2.98, 3 Pt 2.94-3.07
Pt 0.9837 0.4917 0.7715  4 Er 2.81-2.93, 1 Dy 2.91, 2 Pt 3.07-3.14

calculated formation energy	-7.4	eV per formula unit
calculated total energy	-6.252	eV/atom

=====

## CsTeI3 (GGA-PBE)

Data for a geometry-optimized CsTeI3 structure.

Cell: 6.2320 6.2320 6.2320 Å, 90.00 90.00 90.00°
With the nearest neighbours (Å) after each atom.
Element x y z (fractional)
Cs 0.0000 0.0000 0.0000  12 I 4.41
Te 0.5000 0.5000 0.5000  6 I 3.12
I 0.0000 0.5000 0.5000  2 Te 3.12
I 0.5000 0.0000 0.5000  2 Te 3.12
I 0.5000 0.5000 0.0000  2 Te 3.12

ΔE_f (raw)	-686	meV/atom
energy above the most stable polymorph in this dataset	0	meV per atom
calculated total energy	-2.415	eV/atom

=====

## SmCoSi2 (GGA-PBE)

Data for a geometry-optimized SmCoSi2 structure.

Cell: 8.6102 8.6102 4.0637 Å, 90.00 90.00 153.34°
With the nearest neighbours (Å) after each atom.
Element x y z (fractional)
Sm 0.1447 0.8553 0.0000  10 Si 3.03-3.19, 4 Co 3.08
Sm 0.8553 0.1447 0.0000  10 Si 3.03-3.19, 4 Co 3.08
Co 0.4270 0.5730 0.5000  5 Si 2.27-2.37, 1 Co 2.45
Co 0.5730 0.4270 0.5000  5 Si 2.27-2.37, 1 Co 2.45
Si 0.0000 0.0000 0.5000  4 Co 2.33
Si 0.2917 0.7083 0.5000  1 Co 2.27, 2 Si 2.43
Si 0.5000 0.5000 0.0000  4 Co 2.37
Si 0.7083 0.2917 0.5000  1 Co 2.27, 2 Si 2.43

ΔE_f (raw)	-754	meV/atom
calculated total energy	-6.421	eV/atom

=====

## Sc6SnRh2 (GGA-PBE)

Data for a geometry-optimized Sc6SnRh2 structure.

Cell: 7.9534 7.9534 7.9534 Å, 112.22 111.61 104.69°
With the nearest neighbours (Å) after each atom.
Element x y z (fractional)
Sc 0.0305 0.2387 0.7918  2 Rh 2.59-2.87
Sc 0.1854 0.2887 0.4741  3 Rh 2.84-2.90, 1 Sn 3.05
Sc 0.1854 0.7113 0.8967  3 Rh 2.84-2.90, 1 Sn 3.05
Sc 0.3280 0.0279 0.7000  3 Rh 2.56-2.84
Sc 0.3280 0.6280 0.3000  3 Rh 2.56-2.84
Sc 0.4469 0.2387 0.2082  2 Rh 2.59-2.87
Sc 0.5531 0.7613 0.7918  2 Rh 2.59-2.87
Sc 0.6720 0.3720 0.7000  3 Rh 2.56-2.84
Sc 0.6720 0.9721 0.3000  3 Rh 2.56-2.84
Sc 0.8146 0.2887 0.1033  3 Rh 2.84-2.90, 1 Sn 3.05
Sc 0.8146 0.7113 0.5259  3 Rh 2.84-2.90, 1 Sn 3.05
Sc 0.9695 0.7613 0.2082  2 Rh 2.59-2.87
Sn 0.0000 0.0000 0.0000  8 Sc 2.97-3.05, 2 Rh 3.01
Sn 0.5000 0.5000 0.0000  12 Sc 3.14-3.38
Rh 0.1379 0.6379 0.5000  6 Sc 2.56-2.84, 1 Rh 2.68
Rh 0.3370 0.0000 0.3370  8 Sc 2.59-2.90
Rh 0.6630 0.0000 0.6630  8 Sc 2.59-2.90
Rh 0.8621 0.3621 0.5000  6 Sc 2.56-2.84, 1 Rh 2.68

calculated formation energy	-5.9	eV per formula unit
calculated total energy	-6.956	eV/atom